Record 1
This record from Alexandria describes crystalline Er5SiSe5 at its relaxed geometry. The functional is PBE.

CIF file:
```
data_Er5SiSe5
_symmetry_space_group_name_H-M 'C 1 2/m 1'
_symmetry_Int_Tables_number 12
_cell_length_a 12.856
_cell_length_b 5.711
_cell_length_c 8.086
_cell_angle_alpha 90.00
_cell_angle_beta 108.38
_cell_angle_gamma 90.00
loop_
_symmetry_equiv_pos_as_xyz
'x,y,z'
'-x,-y,-z'
'-x,y,-z'
'x,-y,z'
'x+1/2,y+1/2,z'
'-x+1/2,-y+1/2,-z'
'-x+1/2,y+1/2,-z'
'x+1/2,-y+1/2,z'
loop_
_atom_site_label
_atom_site_type_symbol
_atom_site_fract_x
_atom_site_fract_y
_atom_site_fract_z
Er1 Er 0.000 0.000 0.000
Er2 Er 0.159 0.500 0.830
Er3 Er 0.161 0.500 0.329
Si1 Si 0.000 0.500 0.000
Se1 Se 0.000 0.500 0.500
Se2 Se 0.169 0.000 0.835
Se3 Se 0.171 0.000 0.335
```

The uncorrected formation energy is -162 kJ per mole of atoms. For the spin magnetization, the calculation gives 0.000 μB per atom.


Record 2
This record from Alexandria describes crystalline Er8SiTe3Se3 at its relaxed geometry. The functional is PBE.

CIF file:
```
data_Er8SiTe3Se3
_symmetry_space_group_name_H-M 'R -3 m'
_symmetry_Int_Tables_number 166
_symmetry_space_group_name_Hall '-R 3 2"'
_cell_length_a 8.2243
_cell_length_b 8.2243
_cell_length_c 20.8332
_cell_angle_alpha 90.00
_cell_angle_beta 90.00
_cell_angle_gamma 120.00
loop_
_atom_site_label
_atom_site_type_symbol
_atom_site_fract_x
_atom_site_fract_y
_atom_site_fract_z
Er1 Er 0.0000 0.0000 0.2384
Er2 Er 0.0065 0.5032 0.2398
Si1 Si 0.0000 0.0000 0.5000
Te1 Te 0.0000 0.5000 0.0000
Se1 Se 0.0000 0.5000 0.5000
```

The uncorrected formation energy is -123 kJ per mole of atoms. For the spin magnetization, the calculation gives 0.000 μB per atom.


Record 3
This record from Alexandria describes crystalline Er6Si2Te3Se at its relaxed geometry. The functional is PBE.

CIF file:
```
data_Er6Si2Te3Se
_symmetry_space_group_name_H-M 'C 1 2/m 1'
_symmetry_Int_Tables_number 12
_cell_length_a 18.490
_cell_length_b 4.168
_cell_length_c 8.512
_cell_angle_alpha 90.00
_cell_angle_beta 104.75
_cell_angle_gamma 90.00
loop_
_symmetry_equiv_pos_as_xyz
'x,y,z'
'-x,-y,-z'
'-x,y,-z'
'x,-y,z'
'x+1/2,y+1/2,z'
'-x+1/2,-y+1/2,-z'
'-x+1/2,y+1/2,-z'
'x+1/2,-y+1/2,z'
loop_
_atom_site_label
_atom_site_type_symbol
_atom_site_fract_x
_atom_site_fract_y
_atom_site_fract_z
Er1 Er 0.013 0.000 0.243
Er2 Er 0.165 0.500 0.110
Er3 Er 0.174 0.500 0.564
Si1 Si 0.167 0.000 0.332
Te1 Te 0.000 0.500 0.500
Te2 Te 0.163 0.000 0.834
Se1 Se 0.000 0.500 0.000
```

The uncorrected formation energy is -121 kJ per mole of atoms. For the spin magnetization, the calculation gives 0.000 μB per atom.


Record 4
This record from Alexandria describes crystalline Er4SiTe2Se at its relaxed geometry. The functional is PBE.

CIF file:
```
data_Er4SiTe2Se
_symmetry_space_group_name_H-M 'P 1 2/m 1'
_symmetry_Int_Tables_number 10
_cell_length_a 7.203
_cell_length_b 4.165
_cell_length_c 7.415
_cell_angle_alpha 90.00
_cell_angle_beta 109.02
_cell_angle_gamma 90.00
loop_
_symmetry_equiv_pos_as_xyz
'x,y,z'
'-x,-y,-z'
'-x,y,-z'
'x,-y,z'
loop_
_atom_site_label
_atom_site_type_symbol
_atom_site_fract_x
_atom_site_fract_y
_atom_site_fract_z
Er1 Er 0.229 0.000 0.216
Er2 Er 0.249 0.500 0.782
Si1 Si 0.000 0.500 0.000
Te1 Te 0.000 0.000 0.500
Te2 Te 0.500 0.500 0.500
Se1 Se 0.500 0.000 0.000
```

The uncorrected formation energy is -128 kJ per mole of atoms. For the spin magnetization, the calculation gives 0.000 μB per atom.


Record 5
This record from Alexandria describes crystalline Er4SiTeSe2 at its relaxed geometry. The functional is PBE.

CIF file:
```
data_Er4SiTeSe2
_symmetry_space_group_name_H-M 'I -4 m 2'
_symmetry_Int_Tables_number 119
_symmetry_space_group_name_Hall 'I -4 -2'
_cell_length_a 5.835
_cell_length_b 5.835
_cell_length_c 11.748
_cell_angle_alpha 90.00
_cell_angle_beta 90.00
_cell_angle_gamma 90.00
loop_
_atom_site_label
_atom_site_type_symbol
_atom_site_fract_x
_atom_site_fract_y
_atom_site_fract_z
Er1 Er 0.000 0.000 0.238
Er2 Er 0.000 0.500 0.508
Si1 Si 0.000 0.000 0.000
Te1 Te 0.000 0.500 0.250
Se1 Se 0.000 0.000 0.500
Se2 Se 0.000 0.500 0.750
```

The uncorrected formation energy is -135 kJ per mole of atoms. For the spin magnetization, the calculation gives 0.000 μB per atom.


Record 6
This record from Alexandria describes crystalline Er6SiTe3Se2 at its relaxed geometry. The functional is PBE.

CIF file:
```
data_Er6SiTe3Se2
_symmetry_space_group_name_H-M 'C 1 2/m 1'
_symmetry_Int_Tables_number 12
_cell_length_a 7.198
_cell_length_b 12.458
_cell_length_c 7.403
_cell_angle_alpha 90.00
_cell_angle_beta 108.83
_cell_angle_gamma 90.00
loop_
_symmetry_equiv_pos_as_xyz
'x,y,z'
'-x,-y,-z'
'-x,y,-z'
'x,-y,z'
'x+1/2,y+1/2,z'
'-x+1/2,-y+1/2,-z'
'-x+1/2,y+1/2,-z'
'x+1/2,-y+1/2,z'
loop_
_atom_site_label
_atom_site_type_symbol
_atom_site_fract_x
_atom_site_fract_y
_atom_site_fract_z
Er1 Er 0.232 0.160 0.215
Er2 Er 0.248 0.000 0.783
Si1 Si 0.000 0.000 0.000
Te1 Te 0.000 0.170 0.500
Te2 Te 0.000 0.500 0.500
Se1 Se 0.000 0.334 0.000
```

The uncorrected formation energy is -135 kJ per mole of atoms. For the spin magnetization, the calculation gives 0.000 μB per atom.


Record 7
This record from Alexandria describes crystalline Er6SiTe2Se3 at its relaxed geometry. The functional is PBE.

CIF file:
```
data_Er6SiTe2Se3
_symmetry_space_group_name_H-M 'C 1 2/m 1'
_symmetry_Int_Tables_number 12
_cell_length_a 7.258
_cell_length_b 12.555
_cell_length_c 7.103
_cell_angle_alpha 90.00
_cell_angle_beta 109.81
_cell_angle_gamma 90.00
loop_
_symmetry_equiv_pos_as_xyz
'x,y,z'
'-x,-y,-z'
'-x,y,-z'
'x,-y,z'
'x+1/2,y+1/2,z'
'-x+1/2,-y+1/2,-z'
'-x+1/2,y+1/2,-z'
'x+1/2,-y+1/2,z'
loop_
_atom_site_label
_atom_site_type_symbol
_atom_site_fract_x
_atom_site_fract_y
_atom_site_fract_z
Er1 Er 0.214 0.000 0.238
Er2 Er 0.236 0.151 0.756
Si1 Si 0.000 0.000 0.500
Te1 Te 0.000 0.335 0.500
Se1 Se 0.000 0.177 0.000
Se2 Se 0.000 0.500 0.000
```

The uncorrected formation energy is -139 kJ per mole of atoms. For the spin magnetization, the calculation gives 0.000 μB per atom.


Record 8
This record from Alexandria describes crystalline ErThSiSe at its relaxed geometry. The functional is PBE.

CIF file:
```
data_ErThSiSe
_symmetry_space_group_name_H-M 'R 3 m'
_symmetry_Int_Tables_number 160
_symmetry_space_group_name_Hall 'R 3 -2"'
_cell_length_a 4.1782
_cell_length_b 4.1782
_cell_length_c 20.3615
_cell_angle_alpha 90.00
_cell_angle_beta 90.00
_cell_angle_gamma 120.00
loop_
_atom_site_label
_atom_site_type_symbol
_atom_site_fract_x
_atom_site_fract_y
_atom_site_fract_z
Er1 Er 0.0000 0.0000 0.0000
Th1 Th 0.0000 0.0000 0.5107
Si1 Si 0.0000 0.0000 0.2582
Se1 Se 0.0000 0.0000 0.7512
```

The uncorrected formation energy is -118 kJ per mole of atoms. For the spin magnetization, the calculation gives 0.000 μB per atom.


Which formula does entry 8 have? ErThSiSe


Look up the spin magnetization of the eighth one. 0.000 μB per atom